1.
## AsAuCl4 (PBE)

Data for a relaxed AsAuCl4 crystal.

Crystal system: cubic
Calculated total energy: -1.584 eV/atom

The structure in CIF format:
```
data_AsAuCl4
_chemical_formula_sum 'As4 Au4 Cl16'
_cell_length_a 8.136
_cell_length_b 8.136
_cell_length_c 8.136
_cell_angle_alpha 90.00
_cell_angle_beta 90.00
_cell_angle_gamma 90.00
_space_group_name_H-M_alt 'F -4 3 m'
_space_group_IT_number 216
_space_group_name_Hall 'F -4 2 3'
loop_
_atom_site_label
_atom_site_type_symbol
_atom_site_fract_x
_atom_site_fract_y
_atom_site_fract_z
As1 As 0.000 0.000 0.000
Au1 Au 0.250 0.250 0.750
Cl1 Cl 0.125 0.125 0.375
```

***

2.
## AsAuCl2 (PBE)

Data for a relaxed AsAuCl2 crystal.

Crystal system: tetragonal
Calculated total energy: -2.621 eV/atom

The structure in CIF format:
```
data_AsAuCl2
_chemical_formula_sum 'As4 Au4 Cl8'
_cell_length_a 4.552
_cell_length_b 4.552
_cell_length_c 17.329
_cell_angle_alpha 90.00
_cell_angle_beta 90.00
_cell_angle_gamma 90.00
_space_group_name_H-M_alt 'I -4 2 d'
_space_group_IT_number 122
_space_group_name_Hall 'I -4 2bw'
loop_
_atom_site_label
_atom_site_type_symbol
_atom_site_fract_x
_atom_site_fract_y
_atom_site_fract_z
As1 As 0.000 0.000 0.000
Au1 Au 0.000 0.000 0.500
Cl1 Cl 0.241 0.250 0.125
```